A plane-wave DFT calculation with GGA+U was carried out for an optimized crystal structure of Mn2V3PbO8.

Cell lengths 6.393, 6.393, 6.393 Å; angles 58.46, 58.46, 58.46 degrees
Fractional positions:
Mn: 0.000 0.000 0.000
Mn: 0.376 0.376 0.376
V: 0.375 0.375 0.882
V: 0.375 0.882 0.375
V: 0.882 0.375 0.375
Pb: 0.750 0.750 0.750
O: 0.129 0.129 0.586
O: 0.129 0.586 0.129
O: 0.136 0.136 0.136
O: 0.187 0.618 0.618
O: 0.586 0.129 0.129
O: 0.604 0.604 0.604
O: 0.618 0.187 0.618
O: 0.618 0.618 0.187

Summary:
volume: 12.7 A^3/atom
E_tot: -7.5292 eV per atom